TaC2 (PBE, relaxed); distance to the lowest polymorph of the same formula = 1.222 eV/f.u.; calculated volume = 93 Å³/cell; mass density = 10.96 g/cm³
1.0
6.3413 0.0000 0.0000
-3.1706 5.4917 0.0000
0.0000 0.0000 2.6742
Ta C
3 6
Cartesian
0.0000 0.0000 0.0000 Ta
0.0000 3.6611 1.3371 Ta
3.1706 1.8306 1.3371 Ta
-0.9183 1.5905 1.3371 C
-1.3431 2.3263 0.0000 C
1.8366 0.0000 1.3371 C
2.6862 0.0000 0.0000 C
1.8275 3.1654 0.0000 C
2.2524 3.9012 1.3371 C

TaC2 (PBE, relaxed); distance to the lowest polymorph of the same formula = 2.083 eV/f.u.; calculated volume = 109 Å³/cell; mass density = 9.37 g/cm³
1.0
5.8227 0.0000 0.0000
-2.9114 5.0426 0.0000
0.0000 0.0000 3.7103
Ta C
3 6
Cartesian
0.0000 0.0000 0.0000 Ta
0.0000 3.3618 1.8551 Ta
2.9114 1.6809 1.8551 Ta
-0.7250 1.2557 1.8551 C
-2.1864 3.7869 1.8551 C
1.4500 0.0000 1.8551 C
0.7250 1.2557 1.8551 C
4.3728 0.0000 1.8551 C
2.1864 3.7869 1.8551 C

TaC7 (PBE, relaxed); calculated volume = 67 Å³/cell; mass density = 6.60 g/cm³
1.0
0.0000 3.2181 3.2181
3.2181 0.0000 3.2181
3.2181 3.2181 0.0000
Ta C
1 7
Cartesian
0.0000 0.0000 0.0000 Ta
1.6090 1.6090 0.0000 C
1.6090 0.0000 1.6090 C
3.2181 1.6090 1.6090 C
0.0000 1.6090 1.6090 C
1.6090 3.2181 1.6090 C
1.6090 1.6090 3.2181 C
3.2181 3.2181 3.2181 C

TaC4 (PBE, relaxed); distance to the lowest polymorph of the same formula = 0.000 eV/f.u.; calculated volume = 45 Å³/cell; mass density = 8.50 g/cm³
1.0
2.8447 0.0000 0.0000
-1.4223 2.4636 0.0000
0.0000 0.0000 6.3797
Ta C
1 4
Cartesian
0.0000 0.0000 0.0000 Ta
0.0000 1.6424 1.4675 C
0.0000 1.6424 2.8933 C
1.4223 0.8212 3.4864 C
1.4223 0.8212 4.9123 C

no.,ΔH_f (0 K) (eV per formula unit),total moment (μB per atom),energy (eV/f.u.)
1,1.836,0.000,-28.46
2,2.697,0.116,-27.60
3,25.637,0.000,-50.78
4,3.990,0.000,-44.76